Entry 1:
A relaxed structure of LiTmCuAg, computed with GGA-PBE.

Results
SG: F-43m
Magnetization in Bohr magnetons per cell: 0.0
E in eV for the cell shown: -13.89
Formation enthalpy at 0 K in meV/atom: -139

Cell and atoms, written as POSCAR:
```
LiTmCuAg
1.0
0.000 3.355 3.355
3.355 0.000 3.355
3.355 3.355 0.000
Li Tm Cu Ag
1 1 1 1
direct
0.000 0.000 0.000
0.500 0.500 0.500
0.250 0.250 0.250
0.750 0.750 0.750
```

Entry 2:
A relaxed structure of CrRe2Se, computed with GGA-PBE.

Results
Energy above the most stable polymorph in this dataset in eV per atom: 0.355
SG: Fm-3m
Magnetization in Bohr magnetons per cell: 0.0
E in eV for the cell shown: -35.75
Raw formation energy in eV/atom: 0.56

Cell and atoms, written as POSCAR:
```
CrRe2Se
1.0
0.000 3.061 3.061
3.061 0.000 3.061
3.061 3.061 0.000
Cr Re Se
1 2 1
direct
0.000 0.000 0.000
0.250 0.250 0.250
0.750 0.750 0.750
0.500 0.500 0.500
```

Entry 3:
A relaxed structure of PtRhCl3, computed with GGA-PBE.

Results
Energy above the most stable polymorph in this dataset in eV per atom: 0.000
SG: Pm-3m
Magnetization in Bohr magnetons per cell: 2.0
E in eV for the cell shown: -16.37
Raw formation energy in eV/atom: 0.51

Cell and atoms, written as POSCAR:
```
PtRhCl3
1.0
4.872 0.000 0.000
0.000 4.872 0.000
0.000 0.000 4.872
Pt Rh Cl
1 1 3
direct
0.000 0.000 0.000
0.500 0.500 0.500
0.000 0.000 0.500
0.000 0.500 0.000
0.500 0.000 0.000
```

Entry 4:
A relaxed structure of La3Pm2ThSe6, computed with GGA-PBE.

Results
SG: C2/m
Magnetization in Bohr magnetons per cell: 0.0
E in eV for the cell shown: -75.00
Raw formation energy in eV/atom: -1.87

Cell and atoms, written as POSCAR:
```
La3Pm2ThSe6
1.0
9.269 -2.128 0.000
9.269 2.128 0.000
-1.950 0.000 8.284
La Pm Th Se
3 2 1 6
direct
0.000 0.000 0.000
0.334 0.334 0.667
0.666 0.666 0.333
0.335 0.335 0.169
0.665 0.665 0.831
0.000 0.000 0.500
0.166 0.166 0.588
0.169 0.169 0.079
0.498 0.498 0.252
0.502 0.502 0.748
0.831 0.831 0.921
0.834 0.834 0.412
```

Entry 5:
A relaxed structure of La3Dy2Y8, computed with GGA-PBE.

Results
Energy above the most stable polymorph in this dataset in eV per atom: 0.000
SG: P-1
Magnetization in Bohr magnetons per cell: 0.0
E in eV for the cell shown: -75.32
Formation enthalpy at 0 K in meV/atom: 29

Cell and atoms, written as POSCAR:
```
La3Dy2Y8
1.0
6.244 0.000 0.000
1.113 8.070 0.000
0.065 4.029 8.559
La Dy Y
3 2 8
direct
0.000 0.000 0.000
0.307 0.155 0.233
0.693 0.845 0.767
0.078 0.540 0.309
0.922 0.460 0.691
0.151 0.081 0.614
0.230 0.612 0.923
0.383 0.691 0.538
0.461 0.236 0.843
0.539 0.764 0.157
0.617 0.309 0.462
0.770 0.388 0.077
0.849 0.919 0.386
```

Entry 6:
A relaxed structure of SmEr2MgPd4, computed with GGA-PBE.

Results
SG: R-3m
Magnetization in Bohr magnetons per cell: 0.0
E in eV for the cell shown: -42.84
Formation enthalpy at 0 K in meV/atom: -828

Cell and atoms, written as POSCAR:
```
SmEr2MgPd4
1.0
2.430 1.403 8.007
-2.430 1.403 8.007
0.000 -2.806 8.007
Sm Er Mg Pd
1 2 1 4
direct
0.000 0.000 0.000
0.244 0.244 0.244
0.756 0.756 0.756
0.500 0.500 0.500
0.125 0.125 0.125
0.380 0.380 0.380
0.620 0.620 0.620
0.875 0.875 0.875
```

Entry 7:
A relaxed structure of MnZnS4, computed with GGA-PBE.

Results
SG: P2_1/c
Magnetization in Bohr magnetons per cell: 2.0
E in eV for the cell shown: -58.55
Raw formation energy in eV/atom: -0.39

Cell and atoms, written as POSCAR:
```
MnZnS4
1.0
5.739 0.000 0.000
0.000 5.720 0.000
-0.039 0.000 5.710
Mn Zn S
2 2 8
direct
0.000 0.000 0.000
0.000 0.500 0.500
0.500 0.000 0.500
0.500 0.500 0.000
0.087 0.124 0.625
0.087 0.376 0.125
0.374 0.596 0.595
0.374 0.904 0.095
0.626 0.096 0.905
0.626 0.404 0.405
0.913 0.624 0.875
0.913 0.876 0.375
```

Entry 8:
A relaxed structure of NaC2Cl, computed with GGA-PBE.

Results
Energy above the most stable polymorph in this dataset in eV per atom: 0.438
SG: Fm-3m
Magnetization in Bohr magnetons per cell: 0.7
E in eV for the cell shown: -10.57
Raw formation energy in eV/atom: 2.76

Cell and atoms, written as POSCAR:
```
NaC2Cl
1.0
0.000 3.024 3.024
3.024 0.000 3.024
3.024 3.024 0.000
Na C Cl
1 2 1
direct
0.000 0.000 0.000
0.250 0.250 0.250
0.750 0.750 0.750
0.500 0.500 0.500
```

Entry 9:
A relaxed structure of YHfH, computed with GGA-PBE.

Results
Energy above the most stable polymorph in this dataset in eV per atom: 0.173
SG: Pnma
Magnetization in Bohr magnetons per cell: 0.0
E in eV for the cell shown: -78.52

Cell and atoms, written as POSCAR:
```
YHfH
1.0
6.567 0.000 0.000
0.000 3.176 0.000
0.000 0.000 11.261
Y Hf H
4 4 4
direct
0.132 0.250 0.123
0.368 0.750 0.623
0.632 0.250 0.377
0.868 0.750 0.877
0.119 0.250 0.411
0.381 0.750 0.911
0.619 0.250 0.089
0.881 0.750 0.589
0.132 0.750 0.277
0.368 0.250 0.777
0.632 0.750 0.223
0.868 0.250 0.723
```

Entry 10:
A relaxed structure of Cs3YU3S8, computed with GGA-PBE.

Results
SG: R-3m
Magnetization in Bohr magnetons per cell: 8.0
E in eV for the cell shown: -98.64
Raw formation energy in eV/atom: -1.52

Cell and atoms, written as POSCAR:
```
Cs3YU3S8
1.0
4.058 2.343 8.219
-4.058 2.343 8.219
0.000 -4.685 8.219
Cs Y U S
3 1 3 8
direct
0.000 0.500 0.500
0.500 0.000 0.500
0.500 0.500 0.000
0.500 0.500 0.500
0.000 0.000 0.500
0.000 0.500 0.000
0.500 0.000 0.000
0.224 0.727 0.727
0.227 0.227 0.227
0.273 0.273 0.776
0.273 0.776 0.273
0.727 0.224 0.727
0.727 0.727 0.224
0.773 0.773 0.773
0.776 0.273 0.273
```

Entry 11:
A relaxed structure of NiPbSeN2, computed with GGA-PBE.

Results
SG: P4/mmm
Magnetization in Bohr magnetons per cell: 4.2
E in eV for the cell shown: -19.90
Raw formation energy in eV/atom: 1.95

Cell and atoms, written as POSCAR:
```
NiPbSeN2
1.0
4.270 0.000 0.000
0.000 4.270 0.000
0.000 0.000 5.793
Ni Pb Se N
1 1 1 2
direct
0.000 0.000 0.000
0.500 0.500 0.500
0.500 0.500 0.000
0.000 0.500 0.500
0.500 0.000 0.500
```

Entry 12:
A relaxed structure of Sm5Ta2O12, computed with GGA-PBE.

Results
SG: C2/m
Magnetization in Bohr magnetons per cell: 0.0
E in eV for the cell shown: -169.23
Raw formation energy in eV/atom: -3.29

Cell and atoms, written as POSCAR:
```
Sm5Ta2O12
1.0
6.353 -2.999 0.000
6.353 2.999 0.000
-2.282 0.000 7.263
Sm Ta O
5 2 12
direct
0.000 0.000 0.000
0.303 0.303 0.138
0.308 0.308 0.672
0.692 0.692 0.328
0.697 0.697 0.862
0.240 0.760 0.500
0.760 0.240 0.500
0.000 0.000 0.311
0.000 0.000 0.689
0.095 0.595 0.924
0.102 0.574 0.418
0.405 0.905 0.076
0.426 0.898 0.582
0.499 0.499 0.687
0.501 0.501 0.313
0.574 0.102 0.418
0.595 0.095 0.924
0.898 0.426 0.582
0.905 0.405 0.076
```

Entry 13:
A relaxed structure of Ba2Li3PuSb4, computed with GGA-PBE.

Results
SG: P-4m2
Magnetization in Bohr magnetons per cell: 5.7
E in eV for the cell shown: -47.76
Raw formation energy in eV/atom: -0.73

Cell and atoms, written as POSCAR:
```
Ba2Li3PuSb4
1.0
4.937 0.000 0.000
0.000 4.937 0.000
0.000 0.000 12.141
Ba Li Pu Sb
2 3 1 4
direct
0.000 0.500 0.224
0.500 0.000 0.776
0.000 0.500 0.882
0.500 0.000 0.118
0.500 0.500 0.500
0.000 0.000 0.500
0.000 0.000 0.000
0.000 0.500 0.651
0.500 0.000 0.349
0.500 0.500 0.000
```

Entry 14:
A relaxed structure of CrTcSe2Br, computed with GGA-PBE.

Results
Energy above the most stable polymorph in this dataset in eV per atom: 0.000
SG: P4/mmm
Magnetization in Bohr magnetons per cell: 7.9
E in eV for the cell shown: -25.38
Raw formation energy in eV/atom: 0.65

Cell and atoms, written as POSCAR:
```
CrTcSe2Br
1.0
4.949 0.000 0.000
0.000 4.949 0.000
0.000 0.000 4.921
Cr Tc Se Br
1 1 2 1
direct
0.000 0.000 0.000
0.500 0.500 0.500
0.000 0.500 0.000
0.500 0.000 0.000
0.000 0.000 0.500
```

Entry 15:
A relaxed structure of CaZrMo2Ru, computed with GGA-PBE.

Results
SG: P4/mmm
Magnetization in Bohr magnetons per cell: 0.0
E in eV for the cell shown: -31.42
Formation enthalpy at 0 K in meV/atom: 2014

Cell and atoms, written as POSCAR:
```
CaZrMo2Ru
1.0
4.608 0.000 0.000
0.000 4.608 0.000
0.000 0.000 4.683
Ca Zr Mo Ru
1 1 2 1
direct
0.000 0.000 0.000
0.500 0.500 0.500
0.000 0.500 0.000
0.500 0.000 0.000
0.000 0.000 0.500
```

Entry 16:
A relaxed structure of Ho12ErIn3, computed with GGA-PBE.

Results
SG: P4/mmm
Magnetization in Bohr magnetons per cell: 0.0
E in eV for the cell shown: -70.75
Formation enthalpy at 0 K in meV/atom: -190

Cell and atoms, written as POSCAR:
```
Ho12ErIn3
1.0
4.839 0.000 0.000
0.000 4.839 0.000
0.000 0.000 19.649
Ho Er In
12 1 3
direct
0.000 0.000 0.000
0.000 0.000 0.246
0.000 0.000 0.500
0.000 0.000 0.754
0.000 0.500 0.123
0.000 0.500 0.370
0.000 0.500 0.630
0.000 0.500 0.877
0.500 0.000 0.123
0.500 0.000 0.370
0.500 0.000 0.630
0.500 0.000 0.877
0.500 0.500 0.500
0.500 0.500 0.000
0.500 0.500 0.244
0.500 0.500 0.756
```

Entry 17:
A relaxed structure of La6Os2Br3O, computed with GGA-PBE.

Results
SG: C2/m
Magnetization in Bohr magnetons per cell: 0.0
E in eV for the cell shown: -77.09
Raw formation energy in eV/atom: -1.26

Cell and atoms, written as POSCAR:
```
La6Os2Br3O
1.0
3.522 -6.101 0.000
3.522 6.101 0.000
-2.344 0.000 7.877
La Os Br O
6 2 3 1
direct
0.064 0.386 0.191
0.257 0.257 0.808
0.386 0.064 0.191
0.614 0.936 0.809
0.743 0.743 0.192
0.936 0.614 0.809
0.334 0.666 0.000
0.666 0.334 0.000
0.172 0.828 0.500
0.500 0.500 0.500
0.828 0.172 0.500
0.000 0.000 0.000
```

Entry 18:
A relaxed structure of Tm4SiPb, computed with GGA-PBE.

Results
Energy above the most stable polymorph in this dataset in eV per atom: 0.000
SG: P2_1/m
Magnetization in Bohr magnetons per cell: 0.0
E in eV for the cell shown: -59.45
Raw formation energy in eV/atom: -0.45

Cell and atoms, written as POSCAR:
```
Tm4SiPb
1.0
5.921 0.000 0.000
0.000 6.490 0.000
-2.576 0.000 8.279
Tm Si Pb
8 2 2
direct
0.171 0.250 0.066
0.260 0.750 0.360
0.282 0.502 0.756
0.282 0.998 0.756
0.718 0.002 0.244
0.718 0.498 0.244
0.740 0.250 0.640
0.829 0.750 0.934
0.341 0.750 0.045
0.659 0.250 0.955
0.197 0.250 0.429
0.803 0.750 0.571
```

Entry 19:
A relaxed structure of Th2VGe, computed with GGA-PBE.

Results
SG: R-3m
Magnetization in Bohr magnetons per cell: 2.4
E in eV for the cell shown: -26.69
Formation enthalpy at 0 K in meV/atom: 471

Cell and atoms, written as POSCAR:
```
Th2VGe
1.0
1.644 0.949 10.696
-1.644 0.949 10.696
0.000 -1.899 10.696
Th V Ge
2 1 1
direct
0.087 0.087 0.087
0.913 0.913 0.913
0.000 0.000 0.000
0.500 0.500 0.500
```

Entry 20:
A relaxed structure of DyZn2Cu2, computed with GGA-PBE.

Results
Energy above the most stable polymorph in this dataset in eV per atom: 0.000
SG: C2/m
Magnetization in Bohr magnetons per cell: 0.0
E in eV for the cell shown: -16.59
Formation enthalpy at 0 K in meV/atom: -249

Cell and atoms, written as POSCAR:
```
DyZn2Cu2
1.0
2.775 -2.776 0.000
2.775 2.776 0.000
-2.760 0.000 5.549
Dy Zn Cu
1 2 2
direct
0.000 0.000 0.000
0.250 0.750 0.500
0.750 0.250 0.500
0.390 0.390 0.784
0.610 0.610 0.216
```